ZnCoNi2O4: optimized geometry, PBE with a Hubbard U.

The space group is Fmmm (No. 69) and the conventional cell measures 6.038, 6.062 and 8.532 Å, with angles of 90.00, 90.00 and 90.00 degrees. The distinct sites, in fractional coordinates, are Zn at (0.000, 0.000, 0.000), Co at (0.000, 0.000, 0.500), Ni at (0.250, 0.250, 0.250), O at (0.000, 0.000, 0.252) and O at (0.250, 0.250, 0.000).

The value obtained for the density is 6.502 g/cm³. The calculation puts the uncorrected energy at -160.069 eV per cell. Its crystal system is orthorhombic.